Material: NbV4Mo2
Method: DFT, PBE
State: optimized geometry

Summary:
ΔE to the lowest computed polymorph, eV/atom: 0.0000
Formation enthalpy at 0 K, eV/f.u.: 0.8
Crystal system: triclinic

Cell: 2.634 6.778 6.885 Å, 118.79 94.67 96.73°
Space group P-1 (No. 2)
Unique sites:
Nb1 0.000 0.000 0.000 [1 per cell]
V1 0.078 0.302 0.443 [2 per cell]
V2 0.398 0.440 0.152 [2 per cell]
Mo1 0.254 0.852 0.286 [2 per cell]


Material: Nb6VMo
Method: DFT, PBE
State: optimized geometry

Summary:
ΔE to the lowest computed polymorph, eV/atom: 0.2055
Formation enthalpy at 0 K, eV/f.u.: 1.4
Crystal system: trigonal

Cell: 9.5201 9.5201 5.4477 Å, 90.00 90.00 120.00°
Space group R-3m (No. 166, hexagonal axes)
Unique sites:
Nb1 0.0019 0.5010 0.2506 [18 per cell]
V1 0.0000 0.0000 0.5000 [3 per cell]
Mo1 0.0000 0.0000 0.0000 [3 per cell]


Material: Nb6VMo
Method: DFT, PBE
State: optimized geometry

Summary:
ΔE to the lowest computed polymorph, eV/atom: 0.0000
Formation enthalpy at 0 K, eV/f.u.: -0.2
Crystal system: tetragonal

Cell: 4.606 4.606 13.101 Å, 90.00 90.00 90.00°
Space group I4/mmm (No. 139)
Unique sites:
Nb1 0.000 0.000 0.247 [4 per cell]
Nb2 0.000 0.500 0.120 [8 per cell]
V1 0.000 0.000 0.000 [2 per cell]
Mo1 0.000 0.000 0.500 [2 per cell]


Material: Nb2V2Mo
Method: DFT, PBE
State: optimized geometry

Summary:
ΔE to the lowest computed polymorph, eV/atom: 0.4380
Formation enthalpy at 0 K, eV/f.u.: 3.4
Crystal system: trigonal

Cell: 4.4410 4.4410 5.2732 Å, 90.00 90.00 120.00°
Space group P-3m1 (No. 164)
Unique sites:
Nb1 0.3333 0.6667 0.1704 [2 per cell]
V1 0.3333 0.6667 0.6617 [2 per cell]
Mo1 0.0000 0.0000 0.0000 [1 per cell]


Material: Nb2VMo2
Method: DFT, PBE
State: optimized geometry

Summary:
ΔE to the lowest computed polymorph, eV/atom: 0.2492
Formation enthalpy at 0 K, eV/f.u.: 0.8
Crystal system: orthorhombic

Cell: 4.566 13.703 5.327 Å, 90.00 90.00 90.00°
Space group Cmc2_1 (No. 36)
Unique sites:
Nb1 0.000 0.001 0.000 [4 per cell]
Nb2 0.000 0.197 0.343 [4 per cell]
V1 0.000 0.393 0.179 [4 per cell]
Mo1 0.000 0.193 0.836 [4 per cell]
Mo2 0.000 0.402 0.682 [4 per cell]


Material: Nb2V5Mo4
Method: DFT, PBE
State: optimized geometry

Summary:
ΔE to the lowest computed polymorph, eV/atom: 0.3134
Formation enthalpy at 0 K, eV/f.u.: 2.9
Crystal system: monoclinic

Cell: 11.313 5.234 7.733 Å, 90.00 129.63 90.00°
Space group C2/m (No. 12)
Unique sites:
Nb1 0.176 0.000 0.181 [4 per cell]
V1 0.000 0.500 0.000 [2 per cell]
V2 0.004 0.261 0.681 [8 per cell]
Mo1 0.240 0.500 0.069 [4 per cell]
Mo2 0.247 0.000 0.581 [4 per cell]